A plane-wave DFT calculation with PBE was carried out for Y2MnPd9 after structural relaxation.

a b c (Å): 4.083 4.083 12.101
angles (deg): 90.00 90.00 90.00
Space group P4/mmm (No. 123)
One atom of each set of equivalent atoms:
Y  0.000  0.000  0.174 x2
Mn  0.000  0.000  0.500 x1
Pd  0.000  0.500  0.000 x2
Pd  0.000  0.500  0.346 x4
Pd  0.500  0.500  0.172 x2
Pd  0.500  0.500  0.500 x1

Theoretical density ... 9.80 Mg/m³
Formation energy from the elements ... -7.4 eV per formula unit
Final energy ... -76.3 eV/cell
Calculated volume ... 16.81 A^3/atom

=====

A plane-wave DFT calculation with PBE was carried out for PrSiIr after structural relaxation.

a b c (Å): 4.1250 4.1250 4.4160
angles (deg): 90.00 90.00 120.00
Space group P-6m2 (No. 187)
One atom of each set of equivalent atoms:
Pr  0.0000  0.0000  0.0000 x1
Si  0.3333  0.6667  0.5000 x1
Ir  0.6667  0.3333  0.5000 x1

Theoretical density ... 9.22 Mg/m³
Final energy ... -21.6 eV/cell
Formation energy from raw total energies ... -0.847 eV/atom
Calculated volume ... 21.69 A^3/atom

=====

A plane-wave DFT calculation with PBE was carried out for ScCdSb2 after structural relaxation.

a b c (Å): 4.3529 4.3529 19.7745
angles (deg): 90.00 90.00 120.00
Space group R-3m (No. 166, hexagonal axes)
One atom of each set of equivalent atoms:
Sc  0.0000  0.0000  0.0000 x3
Cd  0.0000  0.0000  0.5000 x3
Sb  0.0000  0.0000  0.2549 x6

Theoretical density ... 6.15 Mg/m³
Final energy ... -49.9 eV/cell
Formation energy from raw total energies ... -0.289 eV/atom
Calculated volume ... 27.04 A^3/atom

=====

A plane-wave DFT calculation with PBE was carried out for As2IrIBr after structural relaxation.

a b c (Å): 4.896 4.896 5.233
angles (deg): 90.00 90.00 90.00
Space group P4/mmm (No. 123)
One atom of each set of equivalent atoms:
As  0.000  0.500  0.000 x2
Ir  0.000  0.000  0.000 x1
I  0.500  0.500  0.500 x1
Br  0.000  0.000  0.500 x1

Theoretical density ... 7.27 Mg/m³
Final energy ... -19.4 eV/cell
Formation energy from raw total energies ... 0.406 eV/atom
Polymorph energy (0 for the lowest one) ... 0.0 meV/atom
Calculated volume ... 25.09 A^3/atom